VASP calculation (PBE+U) on a relaxed AlVF5 crystal.

Total moment   0.429 μB/atom
Crystal system   orthorhombic
Total energy   -42.6 eV/f.u.
V   12.507 Å³/atom

Lattice parameters (Å, degrees): 5.2977 5.2977 5.2977 140.34 106.73 86.69
Closest atoms and distances in Å follow each position.
Atoms (fractional coordinates):
Al: 0.5000 0.5000 0.0000  6 F 1.79-1.86
F: 0.7319 0.7319 0.0000  1 Al 1.79
V: 0.0000 0.0000 0.0000  6 F 2.07-2.22
F: 0.7950 0.5000 0.2950  1 Al 1.86
F: 0.5000 0.0000 0.5000  2 Al 1.80
F: 0.2681 0.2681 0.0000  1 Al 1.79
F: 0.2050 0.5000 0.7050  1 Al 1.86